Entry 1:
Dy2Y13: relaxed, PBE.

Unit cell a=7.054 b=7.054 c=12.238 alpha=73.25 beta=73.25 gamma=60.00
Element x y z (fractional)
Y 0.953 0.458 0.635
Y 0.953 0.953 0.635
Y 0.291 0.792 0.125
Y 0.047 0.047 0.365
Y 0.792 0.792 0.125
Y 0.792 0.291 0.125
Y 0.047 0.542 0.365
Y 0.542 0.047 0.365
Y 0.208 0.709 0.875
Y 0.208 0.208 0.875
Y 0.458 0.953 0.635
Dy 0.706 0.706 0.881
Dy 0.294 0.294 0.119
Y 0.500 0.500 0.500
Y 0.709 0.208 0.875

Calculated values
The value obtained for the magnetization is 0.00 μB per formula unit. For the relative energy among the computed polymorphs, the calculation gives 0.100 eV per atom. Its energy is -0.222 Ha/atom. The calculation puts the formation energy at 0.162 eV per atom.



Entry 2:
MnRe2Hg: relaxed, PBE.

Unit cell a=3.811 b=2.766 c=6.608 alpha=65.28 beta=90.00 gamma=90.00
Each line ends with the local moment (μB).
Element x y z (fractional)
Mn 0.500 0.750 0.750  1.51
Hg 0.500 0.250 0.250  0.00
Re 0.000 0.048 0.950  -0.10
Re 0.000 0.452 0.550  -0.10

Calculated values
The value obtained for the magnetization is 1.35 μB per formula unit. Its energy is -0.296 Ha/atom. The calculation puts the formation energy at 0.542 eV per atom.



Entry 3:
InCu2Te: relaxed, PBE.

Unit cell a=3.270 b=3.270 c=7.521 alpha=90.00 beta=90.00 gamma=89.99
Element x y z (fractional)
Cu 0.000 0.000 0.047
Cu 0.500 0.500 0.199
In 0.000 0.000 0.426
Te 0.500 0.500 0.827

Calculated values
Its uncorrected formation energy is 0.73 eV/f.u. The value obtained for the magnetization is 0.00 μB per formula unit. For the relative energy among the computed polymorphs, the calculation gives 0.128 eV per atom. Its energy is -0.123 Ha/atom.



Entry 4:
Y2Ga3Ni4Ir: relaxed, PBE.

Unit cell a=3.921 b=3.921 c=10.574 alpha=90.00 beta=90.00 gamma=90.00
Element x y z (fractional)
Y 0.500 0.000 0.257
Ni 0.000 0.000 0.000
Ga 0.000 0.500 0.130
Ga 0.000 0.000 0.500
Y 0.000 0.500 0.743
Ni 0.500 0.500 0.000
Ni 0.000 0.500 0.355
Ga 0.500 0.000 0.870
Ni 0.500 0.000 0.645
Ir 0.500 0.500 0.500

Calculated values
The value obtained for the magnetization is 0.00 μB per formula unit. Its energy is -0.218 Ha/atom. The calculation puts the formation energy at -0.527 eV per atom.



Entry 5:
PmSnAs2: relaxed, PBE.

Unit cell a=3.879 b=4.903 c=4.903 alpha=90.00 beta=90.00 gamma=90.00
Element x y z (fractional)
Sn 0.500 0.500 0.500
As 0.000 0.000 0.500
As 0.000 0.500 0.000
Pm 0.500 0.000 0.000

Calculated values
The value obtained for the magnetization is 0.00 μB per formula unit. For the relative energy among the computed polymorphs, the calculation gives 0.020 eV per atom. Its energy is -0.188 Ha/atom. The calculation puts the formation energy at -0.594 eV per atom.



Entry 6:
HoErIrPb: relaxed, PBE.

Unit cell a=5.104 b=5.104 c=5.104 alpha=60.00 beta=60.00 gamma=60.00
Element x y z (fractional)
Ir 0.750 0.750 0.750
Ho 0.500 0.500 0.500
Pb 0.250 0.250 0.250
Er 0.000 0.000 0.000

Calculated values
The value obtained for the magnetization is 0.00 μB per formula unit. For the relative energy among the computed polymorphs, the calculation gives 0.204 eV per atom. Its energy is -0.218 Ha/atom. The calculation puts the formation energy at -0.493 eV per atom.



Repeat the second record exactly.
MnRe2Hg: relaxed, PBE.

Unit cell a=3.811 b=2.766 c=6.608 alpha=65.28 beta=90.00 gamma=90.00
Each line ends with the local moment (μB).
Element x y z (fractional)
Mn 0.500 0.750 0.750  1.51
Hg 0.500 0.250 0.250  0.00
Re 0.000 0.048 0.950  -0.10
Re 0.000 0.452 0.550  -0.10

Calculated values
The value obtained for the magnetization is 1.35 μB per formula unit. Its energy is -0.296 Ha/atom. The calculation puts the formation energy at 0.542 eV per atom.



Q: The lowest energy belongs to which entry?
A: MnRe2Hg